The following is a PBE calculation of a relaxed structure of EuEr3Cu, from Alexandria.

Calculated values
Total magnetization in Bohr magnetons per cell: 7.4
Final energy in Ry/atom: -0.4068

a b c (Å): 5.3995 5.3995 5.3995
angles (deg): 90.00 90.00 90.00
Space group Pm-3m (No. 221)
One atom of each set of equivalent atoms:
1 Eu 0.0000 0.0000 0.0000 (multiplicity 1)
2 Er 0.0000 0.5000 0.5000 (multiplicity 3)
3 Cu 0.5000 0.5000 0.5000 (multiplicity 1)